# 1
Density functional theory data (PBE) for a relaxed structure of AlTe2PbI.

Cell: 5.4469 5.4469 5.5279 Å, 90.00 90.00 90.00°
Fractional coordinates of all 5 atoms:
Te  0.5000  0.0000  0.0000
I  0.0000  0.0000  0.5000
Al  0.0000  0.0000  0.0000
Pb  0.5000  0.5000  0.5000
Te  0.0000  0.5000  0.0000

polymorph energy (0 for the lowest one): 0.000 eV per atom
formation energy from raw total energies: -45 meV/atom
mass density: 6.24 Mg/m³
crystal system: tetragonal
DOS at the Fermi energy: 2.2 states/eV/cell

=====

# 2
Density functional theory data (PBE) for a relaxed structure of Al2VPbI.

Cell: 5.0497 5.0497 5.0987 Å, 90.00 90.00 90.00°
Fractional coordinates of all 5 atoms:
V  0.0000  0.0000  0.0000
Al  0.5000  0.0000  0.0000
Al  0.0000  0.5000  0.0000
Pb  0.5000  0.5000  0.5000
I  0.0000  0.0000  0.5000

formation energy from raw total energies: 613 meV/atom
mass density: 5.61 Mg/m³
crystal system: tetragonal
DOS at the Fermi energy: 3.5 states/eV/cell

=====

Look up the DOS at the Fermi energy of the second one. 3.5 states/eV/cell

=====

What did the second record say?
Density functional theory data (PBE) for a relaxed structure of Al2VPbI.

Cell: 5.0497 5.0497 5.0987 Å, 90.00 90.00 90.00°
Fractional coordinates of all 5 atoms:
V  0.0000  0.0000  0.0000
Al  0.5000  0.0000  0.0000
Al  0.0000  0.5000  0.0000
Pb  0.5000  0.5000  0.5000
I  0.0000  0.0000  0.5000

formation energy from raw total energies: 613 meV/atom
mass density: 5.61 Mg/m³
crystal system: tetragonal
DOS at the Fermi energy: 3.5 states/eV/cell